{"formula": "Nd5Tc2O12", "functional": "PBE", "state": "relaxed", "final_energy_ev_per_atom": -8.25, "total_magnetization_mub_per_atom": 0.061, "space_group": "C2/m (12)", "raw_formation_energy_ev_per_atom": -2.769, "cell": [[6.4496, -2.8983, 0.0000], [6.4496, 2.8983, 0.0000], [-2.4053, 0.0000, 7.4561]], "species": ["Nd", "Nd", "Nd", "Nd", "Nd", "Tc", "Tc", "O", "O", "O", "O", "O", "O", "O", "O", "O", "O", "O", "O"], "frac_coords": [[0.0000, 0.0000, 0.0000], [0.3077, 0.3077, 0.1449], [0.3151, 0.3151, 0.6710], [0.6849, 0.6849, 0.3290], [0.6923, 0.6923, 0.8551], [0.2132, 0.7868, 0.5000], [0.7868, 0.2132, 0.5000], [0.0008, 0.0008, 0.6980], [0.0871, 0.5942, 0.4216], [0.0963, 0.5931, 0.9231], [0.4058, 0.9129, 0.5784], [0.4069, 0.9037, 0.0769], [0.4987, 0.4987, 0.3319], [0.5013, 0.5013, 0.6681], [0.5931, 0.0963, 0.9231], [0.5942, 0.0871, 0.4216], [0.9037, 0.4069, 0.0769], [0.9129, 0.4058, 0.5784], [0.9992, 0.9992, 0.3020]]}